# KLaRuS2 (PBE-GGA, relaxed)
# **Total magnetic moment**: 2.03 μB per cell
# **ΔE_f (raw)**: 58.8 kJ/mol of atoms
# **DOS(E_F)**: 1.138 states/eV per atom
data_KLaRuS2
_chemical_formula_sum 'K1 La1 Ru1 S2'
_cell_length_a 5.3539
_cell_length_b 5.3539
_cell_length_c 4.5506
_cell_angle_alpha 90.00
_cell_angle_beta 90.00
_cell_angle_gamma 90.00
_symmetry_space_group_name_H-M 'P 4/m m m'
_symmetry_Int_Tables_number 123
_symmetry_space_group_name_Hall '-P 4 2'
loop_
_atom_site_label
_atom_site_type_symbol
_atom_site_fract_x
_atom_site_fract_y
_atom_site_fract_z
K1 K 0.0000 0.0000 0.0000
La1 La 0.5000 0.5000 0.5000
Ru1 Ru 0.0000 0.0000 0.5000
S1 S 0.0000 0.5000 0.0000